(1)
An optimized crystal structure of ZnSbMo, computed with GGA-PBE.

Cell: 5.0602 5.0602 5.0602 Å, 140.30 140.31 57.39°
Closest atoms and distances in Å follow each position.
Fractional coordinates of all 3 atoms:
Mo 0.0011 0.0011 0.0000  5 Zn 2.81-3.02, 5 Sb 2.83-2.99
Sb 0.3383 0.3383 0.0000  5 Mo 2.83-2.99, 5 Zn 2.86-2.90
Zn 0.6606 0.6606 0.0000  5 Mo 2.81-3.02, 5 Sb 2.86-2.90

Formation energy (no corrections)   15 kJ/mol of atoms

(2)
An optimized crystal structure of NaCa2MgH, computed with GGA-PBE.

Cell: 5.0600 5.0600 5.0230 Å, 90.00 90.00 90.00°
Closest atoms and distances in Å follow each position.
Fractional coordinates of all 5 atoms:
Na 0.0000 0.0000 0.5000  2 H 2.51
Ca 0.0000 0.5000 0.0000  2 H 2.53
Ca 0.5000 0.0000 0.0000  2 H 2.53
Mg 0.5000 0.5000 0.5000  8 Ca 3.56, 4 Na 3.58
H 0.0000 0.0000 0.0000  2 Na 2.51, 4 Ca 2.53

Final energy   -2.157 eV/atom

(3)
An optimized crystal structure of PrHo2ThBi5, computed with GGA-PBE.

Cell: 5.7121 5.7121 12.1354 Å, 90.00 90.00 90.00°
Closest atoms and distances in Å follow each position.
Fractional coordinates of all 9 atoms:
Pr 0.0000 0.0000 0.0000  2 Bi 2.98
Ho 0.5000 0.5000 0.2626  1 Bi 3.19
Ho 0.5000 0.5000 0.7374  1 Bi 3.19
Th 0.0000 0.0000 0.5000  6 Bi 2.86-3.09
Bi 0.0000 0.5000 0.5000  2 Th 2.86
Bi 0.5000 0.0000 0.5000  2 Th 2.86
Bi 0.0000 0.0000 0.7543  1 Pr 2.98, 1 Th 3.09
Bi 0.0000 0.0000 0.2457  1 Pr 2.98, 1 Th 3.09
Bi 0.5000 0.5000 0.0000  2 Ho 3.19

E_form   0.213 eV per atom

(4)
An optimized crystal structure of LiTe8Pd4, computed with GGA-PBE.

Cell: 8.0640 8.0640 8.0640 Å, 60.00 60.00 60.00°
Closest atoms and distances in Å follow each position.
Fractional coordinates of all 13 atoms:
Li 0.7500 0.7500 0.7500  4 Te 2.72
Te 0.5878 0.1374 0.1374  3 Pd 2.70
Te 0.1374 0.5878 0.1374  3 Pd 2.70
Te 0.1374 0.1374 0.5878  3 Pd 2.70
Te 0.1374 0.1374 0.1374  3 Pd 2.70
Te 0.1630 0.6123 0.6123  1 Li 2.72, 3 Pd 2.73
Te 0.6123 0.1630 0.6123  1 Li 2.72, 3 Pd 2.73
Te 0.6123 0.6123 0.1630  1 Li 2.72, 3 Pd 2.73
Te 0.6123 0.6123 0.6123  1 Li 2.72, 3 Pd 2.73
Pd 0.8795 0.3735 0.3735  6 Te 2.70-2.73
Pd 0.3735 0.8795 0.3735  6 Te 2.70-2.73
Pd 0.3735 0.3735 0.8795  6 Te 2.70-2.73
Pd 0.3735 0.3735 0.3735  6 Te 2.70-2.73

Formation energy (no corrections)   -31 kJ/mol of atoms

(5)
An optimized crystal structure of PSeN2F, computed with GGA-PBE.

Cell: 3.9857 3.9857 3.9028 Å, 90.00 90.00 90.00°
Closest atoms and distances in Å follow each position.
Fractional coordinates of all 5 atoms:
P 0.5000 0.5000 0.5000  8 N 2.79, 4 F 2.82
N 0.0000 0.5000 0.0000  2 Se 1.99
N 0.5000 0.0000 0.0000  2 Se 1.99
Se 0.0000 0.0000 0.0000  2 F 1.95, 4 N 1.99
F 0.0000 0.0000 0.5000  2 Se 1.95

Formation energy (no corrections)   136 kJ/mol of atoms

(6)
An optimized crystal structure of Ag2Pd2Pb, computed with GGA-PBE.

Cell: 3.9101 3.9101 7.2473 Å, 74.35 74.35 90.00°
Closest atoms and distances in Å follow each position.
Fractional coordinates of all 5 atoms:
Pb 0.0000 0.0000 0.0000  8 Ag 3.10
Pd 0.7500 0.2500 0.5000  4 Ag 2.76, 4 Pd 2.76
Pd 0.2500 0.7500 0.5000  4 Ag 2.76, 4 Pd 2.76
Ag 0.3959 0.3959 0.2083  4 Pd 2.76, 1 Ag 2.79
Ag 0.6041 0.6041 0.7917  4 Pd 2.76, 1 Ag 2.79

E_form   0.153 eV per atom

(7)
An optimized crystal structure of Co2P2N, computed with GGA-PBE.

Cell: 3.2962 3.2962 20.8651 Å, 90.00 90.00 120.00°
Closest atoms and distances in Å follow each position.
Fractional coordinates of all 15 atoms:
Co 0.0000 0.0000 0.2160  1 N 1.73
Co 0.3333 0.6667 0.8827  1 N 1.73
Co 0.6667 0.3333 0.5494  1 N 1.73
Co 0.0000 0.0000 0.0983  6 P 2.26-2.36, 1 Co 2.46
Co 0.3333 0.6667 0.7649  6 P 2.26-2.36, 1 Co 2.46
Co 0.6667 0.3333 0.4316  6 P 2.26-2.36, 1 Co 2.46
P 0.0000 0.0000 0.3733  1 N 1.55
P 0.3333 0.6667 0.0400  1 N 1.55
P 0.6667 0.3333 0.7067  1 N 1.55
P 0.0000 0.0000 0.8322  6 Co 2.18-2.36
P 0.3333 0.6667 0.4988  6 Co 2.18-2.36
P 0.6667 0.3333 0.1655  6 Co 2.18-2.36
N 0.0000 0.0000 0.2988  1 P 1.55, 1 Co 1.73
N 0.3333 0.6667 0.9655  1 P 1.55, 1 Co 1.73
N 0.6667 0.3333 0.6322  1 P 1.55, 1 Co 1.73

Formation energy (no corrections)   -12 kJ/mol of atoms

(8)
An optimized crystal structure of Cs3Nb5O12, computed with GGA-PBE.

Cell: 12.2150 12.2150 12.2150 Å, 109.47 109.47 109.47°
Closest atoms and distances in Å follow each position.
Fractional coordinates of all 80 atoms:
Cs 0.7500 0.3750 0.1250  4 O 2.88
Cs 0.8750 0.7500 0.1250  4 O 2.88
Cs 0.3750 0.7500 0.6250  4 O 2.88
Cs 0.2500 0.1250 0.3750  4 O 2.88
Cs 0.8750 0.1250 0.2500  4 O 2.88
Cs 0.3750 0.6250 0.2500  4 O 2.88
Cs 0.6250 0.3750 0.7500  4 O 2.88
Cs 0.1250 0.8750 0.7500  4 O 2.88
Cs 0.7500 0.8750 0.6250  4 O 2.88
Cs 0.6250 0.2500 0.3750  4 O 2.88
Cs 0.1250 0.2500 0.8750  4 O 2.88
Cs 0.2500 0.6250 0.8750  4 O 2.88
Nb 0.1250 0.3750 0.2500  4 O 1.90
Nb 0.0000 0.5000 0.0000  6 O 2.16
Nb 0.0000 0.0000 0.0000  6 O 2.16
Nb 0.3750 0.2500 0.1250  4 O 1.90
Nb 0.5000 0.0000 0.5000  6 O 2.16
Nb 0.5000 0.5000 0.0000  6 O 2.16
Nb 0.1250 0.7500 0.3750  4 O 1.90
Nb 0.7500 0.1250 0.8750  4 O 1.90
Nb 0.7500 0.6250 0.3750  4 O 1.90
Nb 0.3750 0.1250 0.7500  4 O 1.90
Nb 0.6250 0.8750 0.2500  4 O 1.90
Nb 0.5000 0.5000 0.5000  6 O 2.16
Nb 0.5000 0.0000 0.0000  6 O 2.16
Nb 0.0000 0.0000 0.5000  6 O 2.16
Nb 0.2500 0.3750 0.6250  4 O 1.90
Nb 0.2500 0.8750 0.1250  4 O 1.90
Nb 0.0000 0.5000 0.5000  6 O 2.16
Nb 0.8750 0.2500 0.6250  4 O 1.90
Nb 0.6250 0.7500 0.8750  4 O 1.90
Nb 0.8750 0.6250 0.7500  4 O 1.90
O 0.6704 0.0968 0.9804  1 Nb 1.90
O 0.3100 0.4804 0.3836  1 Nb 1.90
O 0.0196 0.4032 0.3296  1 Nb 1.90
O 0.4804 0.1704 0.0968  1 Nb 1.90
O 0.5737 0.6704 0.6901  1 Nb 1.90
O 0.0196 0.6164 0.1900  1 Nb 1.90
O 0.3099 0.8296 0.4263  1 Nb 1.90
O 0.1164 0.9263 0.0968  1 Nb 1.90
O 0.6164 0.0196 0.6901  1 Nb 1.90
O 0.6704 0.5737 0.1900  1 Nb 1.90
O 0.8296 0.5196 0.4032  1 Nb 1.90
O 0.8099 0.8836 0.9804  1 Nb 1.90
O 0.0968 0.6704 0.4804  1 Nb 1.90
O 0.4032 0.3836 0.0737  1 Nb 1.90
O 0.0737 0.8836 0.4032  1 Nb 1.90
O 0.4263 0.0968 0.6164  1 Nb 1.90
O 0.0737 0.1901 0.1704  1 Nb 1.90
O 0.5196 0.6901 0.1164  1 Nb 1.90
O 0.8099 0.9263 0.3296  1 Nb 1.90
O 0.0968 0.4263 0.1164  1 Nb 1.90
O 0.4032 0.0196 0.8296  1 Nb 1.90
O 0.6164 0.5968 0.4263  1 Nb 1.90
O 0.8836 0.8099 0.4804  1 Nb 1.90
O 0.8296 0.3100 0.9263  1 Nb 1.90
O 0.3836 0.4032 0.5737  1 Nb 1.90
O 0.1164 0.1901 0.5196  1 Nb 1.90
O 0.1704 0.6901 0.0737  1 Nb 1.90
O 0.1900 0.0737 0.6704  1 Nb 1.90
O 0.5968 0.9804 0.1704  1 Nb 1.90
O 0.9032 0.5737 0.8836  1 Nb 1.90
O 0.4804 0.3099 0.8836  1 Nb 1.90
O 0.5737 0.9032 0.3836  1 Nb 1.90
O 0.9263 0.8099 0.8296  1 Nb 1.90
O 0.9263 0.1164 0.5968  1 Nb 1.90
O 0.9032 0.3296 0.5196  1 Nb 1.90
O 0.1900 0.1164 0.0196  1 Nb 1.90
O 0.5968 0.6164 0.9263  1 Nb 1.90
O 0.3836 0.9804 0.3099  1 Nb 1.90
O 0.3296 0.4263 0.8099  1 Nb 1.90
O 0.1704 0.4804 0.5968  1 Nb 1.90
O 0.8836 0.0737 0.9032  1 Nb 1.90
O 0.6901 0.1704 0.5737  1 Nb 1.90
O 0.5196 0.8296 0.9032  1 Nb 1.90
O 0.9804 0.3836 0.8099  1 Nb 1.90
O 0.4263 0.3296 0.3099  1 Nb 1.90
O 0.9804 0.5968 0.6704  1 Nb 1.90
O 0.6901 0.5196 0.6164  1 Nb 1.90
O 0.3296 0.9032 0.0196  1 Nb 1.90

Formation energy (no corrections)   -212 kJ/mol of atoms

(9)
An optimized crystal structure of HfCrBi2, computed with GGA-PBE.

Cell: 4.9707 4.9707 4.9707 Å, 60.00 60.00 60.00°
Closest atoms and distances in Å follow each position.
Fractional coordinates of all 4 atoms:
Cr 0.0000 0.0000 0.0000  8 Bi 3.04
Hf 0.5000 0.5000 0.5000  8 Bi 3.04
Bi 0.2500 0.2500 0.2500  4 Cr 3.04, 4 Hf 3.04
Bi 0.7500 0.7500 0.7500  4 Hf 3.04, 4 Cr 3.04

E_form   0.519 eV per atom

(10)
An optimized crystal structure of La2TcSb, computed with GGA-PBE.

Cell: 9.2225 9.2225 9.2225 Å, 24.17 24.17 24.17°
Closest atoms and distances in Å follow each position.
Fractional coordinates of all 4 atoms:
La 0.0092 0.0092 0.0092  3 Tc 2.99, 3 Sb 3.34
La 0.4908 0.4908 0.4908  3 Tc 2.99, 3 Sb 3.34
Sb 0.2500 0.2500 0.2500  6 La 3.34
Tc 0.7500 0.7500 0.7500  6 La 2.99

Formation energy (no corrections)   -5 kJ/mol of atoms

Here are the calculated magnetic moment numbers, same order: 0.00; 0.00; 0.00; 0.00; 0.00; 0.00; 0.00; 16.04; 0.00; 0.18 (μB/cell).
Here are the calculated volume numbers, same order: 17.47; 25.72; 44.00; 28.52; 12.40; 20.48; 13.09; 17.54; 21.71; 28.90 (Å³/atom).
Here are the calculated D(E_F) numbers, same order: 2.93; 3.55; 5.84; 7.18; 2.78; 2.18; 7.03; 25.61; 3.42; 4.75 (states/eV per cell).